# PBE Zr3CoOs, relaxed
data_Zr3CoOs
_symmetry_space_group_name_H-M 'C 1 2/m 1'
_symmetry_Int_Tables_number 12
_cell_length_a 9.301
_cell_length_b 5.852
_cell_length_c 7.758
_cell_angle_alpha 90.00
_cell_angle_beta 115.09
_cell_angle_gamma 90.00
loop_
_symmetry_equiv_pos_as_xyz
'x,y,z'
'-x,-y,-z'
'-x,y,-z'
'x,-y,z'
'x+1/2,y+1/2,z'
'-x+1/2,-y+1/2,-z'
'-x+1/2,y+1/2,-z'
'x+1/2,-y+1/2,z'
loop_
_atom_site_label
_atom_site_fract_x
_atom_site_fract_y
_atom_site_fract_z
Zr1 0.003 0.000 0.282
Zr2 0.189 0.500 0.330
Zr3 0.203 0.500 0.861
Co1 0.000 0.311 0.500
Os1 0.000 0.260 0.000
# - energy of formation from the pure elements (eV/atom) = -0.2535
# - DFT total energy (eV/atom) = -9.050
# - calculated volume (Å³/cell) = 382